Material: SrFe2Co
Method: DFT, PBE
State: optimized geometry

Output
- M_tot: 0.124 μB/atom
- Electronic total energy: -5.126 eV per atom
- Fermi-level density of states: 20.1 states/eV per cell

```
data_SrFe2Co
_chemical_formula_sum 'Sr1 Fe2 Co1'
_cell_length_a 4.411
_cell_length_b 4.411
_cell_length_c 4.411
_cell_angle_alpha 60.00
_cell_angle_beta 60.00
_cell_angle_gamma 60.00
_space_group_name_H-M_alt 'P 1'
_space_group_IT_number 1
loop_
_space_group_symop_operation_xyz
'x,y,z'
loop_
_atom_site_label
_atom_site_fract_x
_atom_site_fract_y
_atom_site_fract_z
Sr1 0.500 0.500 0.500
Co1 0.000 0.000 0.000
Fe1 0.250 0.250 0.250
Fe2 0.750 0.750 0.750
```

Material: SrFeCo
Method: DFT, PBE
State: optimized geometry

Output
- M_tot: 1.541 μB/atom
- Distance to the lowest polymorph of the same formula: 1284 meV/atom
- Fermi-level density of states: 7.3 states/eV per cell

```
data_SrFeCo
_chemical_formula_sum 'Sr1 Fe1 Co1'
_cell_length_a 4.777
_cell_length_b 4.777
_cell_length_c 4.777
_cell_angle_alpha 60.00
_cell_angle_beta 60.00
_cell_angle_gamma 60.00
_space_group_name_H-M_alt 'P 1'
_space_group_IT_number 1
loop_
_space_group_symop_operation_xyz
'x,y,z'
loop_
_atom_site_label
_atom_site_fract_x
_atom_site_fract_y
_atom_site_fract_z
Co1 0.000 0.000 0.000
Fe1 0.500 0.500 0.500
Sr1 0.750 0.750 0.750
```

Material: SrFe2Co
Method: DFT, PBE
State: optimized geometry

Output
- M_tot: 1.719 μB/atom
- Electronic total energy: -5.553 eV per atom
- Fermi-level density of states: 6.3 states/eV per cell

```
data_SrFe2Co
_chemical_formula_sum 'Sr1 Fe2 Co1'
_cell_length_a 5.192
_cell_length_b 5.192
_cell_length_c 5.192
_cell_angle_alpha 135.61
_cell_angle_beta 135.61
_cell_angle_gamma 64.58
_space_group_name_H-M_alt 'P 1'
_space_group_IT_number 1
loop_
_space_group_symop_operation_xyz
'x,y,z'
loop_
_atom_site_label
_atom_site_fract_x
_atom_site_fract_y
_atom_site_fract_z
Co1 0.750 0.250 0.500
Fe1 0.000 0.000 0.000
Fe2 0.500 0.500 0.000
Sr1 0.250 0.750 0.500
```

Material: SrFeCo2
Method: DFT, PBE
State: optimized geometry

Output
- M_tot: 1.421 μB/atom
- Distance to the lowest polymorph of the same formula: 303 meV/atom
- Fermi-level density of states: 4.9 states/eV per cell

```
data_SrFeCo2
_chemical_formula_sum 'Sr1 Fe1 Co2'
_cell_length_a 3.739
_cell_length_b 2.919
_cell_length_c 6.660
_cell_angle_alpha 74.27
_cell_angle_beta 90.00
_cell_angle_gamma 90.00
_space_group_name_H-M_alt 'P 1'
_space_group_IT_number 1
loop_
_space_group_symop_operation_xyz
'x,y,z'
loop_
_atom_site_label
_atom_site_fract_x
_atom_site_fract_y
_atom_site_fract_z
Co1 0.000 0.003 0.089
Co2 0.000 0.497 0.411
Fe1 0.500 0.250 0.250
Sr1 0.500 0.750 0.750
```